Compound: Pu2Al4SbAu3
Source: Alexandria via LeMat-Bulk
Functional: PBE
Structure: relaxed

The raw formation energy is -396 kJ/mol of formula units. For the density of states at the Fermi level, the calculation gives 29.5 states/eV per cell. As for the volume: 210.4 Å³/cell.

The space group is P-4m2 (No. 115) and the conventional cell measures 4.4378, 4.4378 and 10.6855 Å, with angles of 90.00, 90.00 and 90.00 degrees. The inequivalent atoms are Pu at (0.0000, 0.5000, 0.2469), Al at (0.0000, 0.0000, 0.0000), Al at (0.0000, 0.5000, 0.6476), Al at (0.5000, 0.5000, 0.0000), Sb at (0.0000, 0.0000, 0.5000), Au at (0.0000, 0.5000, 0.8762) and Au at (0.5000, 0.5000, 0.5000).